[1]
Here is a geometry-optimized CoSe2Br structure from the Alexandria database. Energies are from PBE.

Values from the calculation:
The calculation puts the formation energy (no corrections) at -0.16 eV per atom. For the energy above the most stable polymorph in this dataset, the calculation gives 49.9 meV per atom.

Unit cell a=3.6822 b=6.2308 c=9.4216 alpha=90.00 beta=101.04 gamma=90.00
Last column: nearest neighbours and their distance in Å.
Space group P2_1/m (No. 11)
Symmetry-distinct sites (fractional):
Co (0.2471, 0.2500, 0.4152)  6 Se 2.40-2.47, 1 Br 2.46
Se (0.2787, 0.5026, 0.6190)  3 Co 2.40-2.47
Br (0.1643, 0.2500, 0.1502)  1 Co 2.46

[2]
Here is a geometry-optimized Pr4Ir2Pb structure from the Alexandria database. Energies are from PBE.

Values from the calculation:
The calculation puts the energy of formation from the pure elements at -508 meV/atom.

Unit cell a=4.7624 b=4.7624 c=31.6457 alpha=90.00 beta=90.00 gamma=120.00
Last column: nearest neighbours and their distance in Å.
Space group R-3m (No. 166, hexagonal axes)
Symmetry-distinct sites (fractional):
Pr (0.0000, 0.0000, 0.1113)  3 Ir 3.10, 3 Pb 3.26
Pr (0.0000, 0.0000, 0.2987)  4 Ir 2.92-3.18
Ir (0.0000, 0.0000, 0.3993)  7 Pr 2.92-3.18, 1 Pb 3.19
Pb (0.0000, 0.0000, 0.5000)  2 Ir 3.19, 6 Pr 3.26

[3]
Here is a geometry-optimized Na2Li2Sn structure from the Alexandria database. Energies are from PBE.

Values from the calculation:
The calculation puts the energy of formation from the pure elements at -135 meV/atom. For the energy above the most stable polymorph in this dataset, the calculation gives 50.3 meV per atom.

Unit cell a=3.1931 b=4.5284 c=36.8460 alpha=90.00 beta=90.00 gamma=90.00
Last column: nearest neighbours and their distance in Å.
Space group Imma (No. 74)
Symmetry-distinct sites (fractional):
Na (0.0000, 0.2500, 0.1403)  2 Li 2.99, 2 Na 3.19
Na (0.0000, 0.2500, 0.7053)  2 Na 3.19
Li (0.0000, 0.2500, 0.9128)  1 Li 2.58
Li (0.0000, 0.2500, 0.9827)  3 Li 2.58-2.60
Sn (0.0000, 0.2500, 0.4448)  10 Li 3.01-3.11, 2 Sn 3.19

[4]
Here is a geometry-optimized LiNb3Cl structure from the Alexandria database. Energies are from PBE.

Values from the calculation:
The calculation puts the formation energy (no corrections) at 0.75 eV per atom. For the energy above the most stable polymorph in this dataset, the calculation gives 0.0 meV per atom.

Unit cell a=4.5990 b=4.5990 c=4.5990 alpha=90.00 beta=90.00 gamma=90.00
Last column: nearest neighbours and their distance in Å.
Space group Pm-3m (No. 221)
Symmetry-distinct sites (fractional):
Li (0.0000, 0.0000, 0.0000)  12 Nb 3.25
Nb (0.0000, 0.5000, 0.5000)  2 Cl 2.30
Cl (0.5000, 0.5000, 0.5000)  6 Nb 2.30